1.
A relaxed structure of PmFeTc. Source: Alexandria, functional PBE. Values from VASP.

Geometry as Quantum ESPRESSO input:
```
&SYSTEM
  ibrav = 0, nat = 6, ntyp = 3
/
ATOMIC_SPECIES
Pm 145.00 Pm.upf
Fe 55.84 Fe.upf
Tc 98.00 Tc.upf
ATOMIC_POSITIONS crystal
Pm 0.872 0.378 0.378
Pm 0.128 0.622 0.622
Fe 0.000 0.000 0.000
Fe 0.500 0.000 0.000
Tc 0.500 0.500 0.000
Tc 0.500 0.000 0.500
CELL_PARAMETERS angstrom
1.249 -5.107 1.561
3.617 -2.914 -2.790
4.965 -1.173 1.824
```

Output
- Symmetry: Imma
- Total energy: -0.57633 Ry/atom
- E above lowest polymorph: 0.000 eV per formula unit
- ΔH_f (0 K): 0.018 eV per atom

=====

2.
A relaxed structure of LaPm4Sm2Er. Source: Alexandria, functional PBE. Values from VASP.

Geometry as Quantum ESPRESSO input:
```
&SYSTEM
  ibrav = 0, nat = 8, ntyp = 4
/
ATOMIC_SPECIES
La 138.91 La.upf
Pm 145.00 Pm.upf
Sm 150.36 Sm.upf
Er 167.26 Er.upf
ATOMIC_POSITIONS crystal
La 0.500 0.500 0.000
Pm 0.000 0.751 0.748
Pm 0.000 0.249 0.252
Pm 0.500 0.749 0.250
Pm 0.500 0.251 0.750
Sm 0.000 0.000 0.000
Sm 0.500 0.000 0.500
Er 0.000 0.500 0.500
CELL_PARAMETERS angstrom
-3.006 1.057 -1.785
-1.023 -11.055 -4.823
-3.562 -2.787 4.349
```

Output
- Symmetry: P2/m
- Total energy: -0.34717 Ry/atom
- ΔH_f (0 K): 0.018 eV per atom

=====

3.
A relaxed structure of RbYInCl2. Source: Alexandria, functional PBE. Values from VASP.

Geometry as Quantum ESPRESSO input:
```
&SYSTEM
  ibrav = 0, nat = 5, ntyp = 4
/
ATOMIC_SPECIES
Y 88.91 Y.upf
Cl 35.45 Cl.upf
Rb 85.47 Rb.upf
In 114.82 In.upf
ATOMIC_POSITIONS crystal
Y 0.500 0.500 0.500
Cl 0.000 0.000 0.500
Cl 0.500 0.000 0.000
Rb 0.000 0.000 0.000
In 0.000 0.500 0.000
CELL_PARAMETERS angstrom
5.636 0.000 0.000
0.000 6.341 0.000
0.000 0.000 5.636
```

Output
- Symmetry: P4/mmm
- Total energy: -0.21808 Ry/atom
- Energy relative to the elements, uncorrected: -1.0 eV per formula unit
- E above lowest polymorph: 0.000 eV per formula unit

=====

4.
A relaxed structure of Ac2BPPd6. Source: Alexandria, functional PBE. Values from VASP.

Geometry as Quantum ESPRESSO input:
```
&SYSTEM
  ibrav = 0, nat = 10, ntyp = 4
/
ATOMIC_SPECIES
Ac 227.00 Ac.upf
B 10.81 B.upf
P 30.97 P.upf
Pd 106.42 Pd.upf
ATOMIC_POSITIONS crystal
Ac 0.728 0.183 0.544
Ac 0.272 0.817 0.456
B 0.500 0.500 0.000
P 0.000 0.000 0.000
Pd 0.265 0.307 0.470
Pd 0.734 0.692 0.045
Pd 0.221 0.692 0.045
Pd 0.779 0.308 0.955
Pd 0.266 0.308 0.955
Pd 0.735 0.693 0.530
CELL_PARAMETERS angstrom
5.972 0.022 -0.011
-0.026 7.015 -0.756
2.984 3.002 4.211
```

Output
- Symmetry: C2/m
- Total energy: -0.43365 Ry/atom
- ΔH_f (0 K): -0.754 eV per atom

=====

5.
A relaxed structure of Pr2ScI6. Source: Alexandria, functional PBE. Values from VASP.

Geometry as Quantum ESPRESSO input:
```
&SYSTEM
  ibrav = 0, nat = 9, ntyp = 3
/
ATOMIC_SPECIES
Pr 140.91 Pr.upf
Sc 44.96 Sc.upf
I 126.90 I.upf
ATOMIC_POSITIONS crystal
Pr 0.329 0.057 0.286
Pr 0.671 0.943 0.714
Sc 0.000 0.000 0.000
I 0.795 0.290 0.120
I 0.205 0.710 0.880
I 0.338 0.785 0.538
I 0.996 0.782 0.226
I 0.004 0.218 0.774
I 0.662 0.215 0.462
CELL_PARAMETERS angstrom
-1.354 2.347 3.198
2.770 -4.055 6.895
9.447 6.094 2.276
```

Output
- Symmetry: C2/m
- Total energy: -0.29442 Ry/atom
- Energy relative to the elements, uncorrected: -10.9 eV per formula unit

=====

6.
A relaxed structure of Ti5NbRh2. Source: Alexandria, functional PBE. Values from VASP.

Geometry as Quantum ESPRESSO input:
```
&SYSTEM
  ibrav = 0, nat = 8, ntyp = 3
/
ATOMIC_SPECIES
Ti 47.87 Ti.upf
Nb 92.91 Nb.upf
Rh 102.91 Rh.upf
ATOMIC_POSITIONS crystal
Ti 0.282 0.282 0.507
Ti 0.282 0.775 0.000
Ti 0.775 0.282 0.000
Ti 0.775 0.775 0.493
Ti 0.256 0.256 0.000
Nb 0.796 0.796 0.000
Rh 0.279 0.779 0.500
Rh 0.779 0.279 0.500
CELL_PARAMETERS angstrom
-0.954 1.263 -5.253
4.876 -2.438 0.611
-3.905 -3.457 1.701
```

Output
- Symmetry: I4mm
- Total energy: -0.62045 Ry/atom
- ΔH_f (0 K): -0.411 eV per atom

=====

7.
A relaxed structure of AlTlOs2. Source: Alexandria, functional PBE. Values from VASP.

Geometry as Quantum ESPRESSO input:
```
&SYSTEM
  ibrav = 0, nat = 4, ntyp = 3
/
ATOMIC_SPECIES
Tl 204.38 Tl.upf
Os 190.23 Os.upf
Al 26.98 Al.upf
ATOMIC_POSITIONS crystal
Tl 0.000 0.000 0.481
Os 0.000 0.000 0.009
Os 0.500 0.500 0.206
Al 0.500 0.500 0.804
CELL_PARAMETERS angstrom
-2.293 1.722 -0.287
-1.404 -2.100 -1.387
-3.034 -2.817 7.334
```

Output
- Symmetry: P4mm
- Total energy: -0.50260 Ry/atom
- E above lowest polymorph: 0.308 eV per formula unit
- ΔH_f (0 K): 0.304 eV per atom

=====

8.
A relaxed structure of SrTlFe2S. Source: Alexandria, functional PBE. Values from VASP.

Geometry as Quantum ESPRESSO input:
```
&SYSTEM
  ibrav = 0, nat = 5, ntyp = 4
/
ATOMIC_SPECIES
S 32.06 S.upf
Sr 87.62 Sr.upf
Tl 204.38 Tl.upf
Fe 55.84 Fe.upf
ATOMIC_POSITIONS crystal
S 0.500 0.500 0.500
Sr 0.000 0.000 0.000
Tl 0.000 0.500 0.000
Fe 0.000 0.000 0.500
Fe 0.500 0.000 0.000
CELL_PARAMETERS angstrom
5.022 0.000 0.000
0.000 6.130 0.000
0.000 0.000 5.022
```

Output
- Symmetry: P4/mmm
- Total energy: -0.23725 Ry/atom
- Energy relative to the elements, uncorrected: 9.0 eV per formula unit